Here is an optimized crystal structure of NaCaRuF6 from the Alexandria database. Energies are from PBE.

abc: 5.7072 5.7072 9.4970
angles: 90.00 90.00 120.00
Last column: nearest neighbours and their distance in Å.
Space group P-31c (No. 163)
Symmetry-distinct sites (fractional):
1 Na 0.0000 0.0000 0.0000 x2  6 F 2.38
2 Ca 0.3333 0.6667 0.2500 x2  6 F 2.29
3 Ru 0.3333 0.6667 0.7500 x2  6 F 2.03
4 F 0.0334 0.3676 0.6340 x12  1 Ru 2.03

E_tot   -5.25 eV per atom
Density   3.45 g/cm3